{"formula": "LiSbPO5", "functional": "GGA-PBEsol", "state": "relaxed", "lattice": [[3.608, -4.139, 0.000], [3.608, 4.139, 0.000], [-3.197, 0.000, 6.702]], "species": ["Li", "Li", "Sb", "Sb", "P", "P", "O", "O", "O", "O", "O", "O", "O", "O", "O", "O"], "frac_coords": [[0.197, 0.803, 0.500], [0.803, 0.197, 0.000], [0.611, 0.613, 0.859], [0.613, 0.611, 0.359], [0.278, 0.972, 0.121], [0.972, 0.278, 0.621], [0.254, 0.343, 0.770], [0.296, 0.782, 0.243], [0.343, 0.254, 0.270], [0.476, 0.947, 0.007], [0.524, 0.712, 0.611], [0.712, 0.524, 0.111], [0.782, 0.296, 0.743], [0.918, 0.995, 0.477], [0.947, 0.476, 0.507], [0.995, 0.918, 0.977]], "spacegroup": "No. 9", "m_tot_mub_per_cell": 0.0, "dos_ef_per_ev_cell": 1.034, "e_form_raw_mev_per_atom": -1891, "energy_ev_per_atom": -6.711}


{"formula": "LiSb2P5O16", "functional": "GGA-PBEsol", "state": "relaxed", "lattice": [[7.116, 0.000, 0.000], [0.000, 10.954, 0.000], [-3.047, 0.000, 9.539]], "species": ["Li", "Li", "Sb", "Sb", "Sb", "Sb", "P", "P", "P", "P", "P", "P", "P", "P", "P", "P", "O", "O", "O", "O", "O", "O", "O", "O", "O", "O", "O", "O", "O", "O", "O", "O", "O", "O", "O", "O", "O", "O", "O", "O", "O", "O", "O", "O", "O", "O", "O", "O"], "frac_coords": [[0.000, 0.098, 0.000], [0.000, 0.902, 0.500], [0.063, 0.145, 0.387], [0.063, 0.855, 0.887], [0.518, 0.356, 0.764], [0.518, 0.644, 0.264], [0.225, 0.111, 0.743], [0.225, 0.889, 0.243], [0.355, 0.411, 0.427], [0.355, 0.589, 0.927], [0.624, 0.040, 0.746], [0.624, 0.960, 0.246], [0.661, 0.189, 0.114], [0.661, 0.811, 0.614], [0.714, 0.342, 0.359], [0.714, 0.658, 0.859], [0.105, 0.052, 0.603], [0.105, 0.948, 0.103], [0.138, 0.097, 0.861], [0.138, 0.903, 0.361], [0.206, 0.316, 0.352], [0.206, 0.684, 0.852], [0.273, 0.243, 0.710], [0.273, 0.757, 0.210], [0.345, 0.473, 0.841], [0.345, 0.527, 0.341], [0.357, 0.441, 0.576], [0.357, 0.559, 0.076], [0.429, 0.031, 0.793], [0.429, 0.969, 0.293], [0.571, 0.244, 0.974], [0.571, 0.347, 0.452], [0.571, 0.653, 0.952], [0.571, 0.756, 0.474], [0.573, 0.055, 0.115], [0.573, 0.945, 0.615], [0.590, 0.257, 0.231], [0.590, 0.743, 0.731], [0.648, 0.163, 0.692], [0.648, 0.837, 0.192], [0.754, 0.463, 0.308], [0.754, 0.537, 0.808], [0.791, 0.015, 0.365], [0.791, 0.985, 0.865], [0.886, 0.264, 0.447], [0.886, 0.736, 0.947], [0.887, 0.180, 0.163], [0.887, 0.820, 0.663]], "spacegroup": "No. 7", "m_tot_mub_per_cell": 0.0, "dos_ef_per_ev_cell": 0.000, "e_form_raw_mev_per_atom": -1996, "energy_ev_per_atom": -7.164}


{"formula": "Li3Sb5P6O24", "functional": "GGA-PBEsol", "state": "relaxed", "lattice": [[8.457, 0.000, 0.000], [-2.904, 8.118, 0.000], [-2.819, -3.926, 7.149]], "species": ["Li", "Li", "Li", "Sb", "Sb", "Sb", "Sb", "Sb", "P", "P", "P", "P", "P", "P", "O", "O", "O", "O", "O", "O", "O", "O", "O", "O", "O", "O", "O", "O", "O", "O", "O", "O", "O", "O", "O", "O", "O", "O"], "frac_coords": [[0.000, 0.000, 0.000], [0.181, 0.940, 0.776], [0.489, 0.711, 0.325], [0.018, 0.580, 0.062], [0.314, 0.214, 0.531], [0.497, 0.744, 0.880], [0.641, 0.401, 0.209], [0.820, 0.210, 0.541], [0.121, 0.486, 0.426], [0.238, 0.345, 0.917], [0.366, 0.971, 0.171], [0.618, 0.113, 0.801], [0.743, 0.597, 0.657], [0.859, 0.854, 0.285], [0.070, 0.983, 0.448], [0.091, 0.421, 0.901], [0.144, 0.311, 0.400], [0.149, 0.151, 0.894], [0.153, 0.539, 0.278], [0.230, 0.044, 0.199], [0.267, 0.658, 0.620], [0.282, 0.356, 0.757], [0.330, 0.800, 0.206], [0.351, 0.921, 0.977], [0.417, 0.087, 0.742], [0.426, 0.490, 0.106], [0.577, 0.137, 0.319], [0.583, 0.589, 0.712], [0.642, 0.548, 0.446], [0.651, 0.972, 0.867], [0.655, 0.073, 0.631], [0.726, 0.891, 0.360], [0.772, 0.313, 0.968], [0.776, 0.435, 0.674], [0.826, 0.649, 0.239], [0.829, 0.876, 0.111], [0.915, 0.434, 0.395], [0.926, 0.783, 0.774]], "spacegroup": "No. 1", "m_tot_mub_per_cell": 0.0, "dos_ef_per_ev_cell": 0.000, "e_form_raw_mev_per_atom": -1997, "energy_ev_per_atom": -6.982}


{"formula": "LiSbP4O12", "functional": "GGA-PBEsol", "state": "relaxed", "lattice": [[8.987, -6.260, 0.000], [8.987, 6.260, 0.000], [-1.375, 0.000, 5.397]], "species": ["Li", "Li", "Sb", "Sb", "P", "P", "P", "P", "P", "P", "P", "P", "O", "O", "O", "O", "O", "O", "O", "O", "O", "O", "O", "O", "O", "O", "O", "O", "O", "O", "O", "O", "O", "O", "O", "O"], "frac_coords": [[0.094, 0.094, 0.490], [0.906, 0.906, 0.510], [0.000, 0.500, 0.000], [0.500, 0.000, 0.000], [0.133, 0.712, 0.833], [0.205, 0.438, 0.555], [0.288, 0.867, 0.167], [0.438, 0.205, 0.555], [0.562, 0.795, 0.445], [0.712, 0.133, 0.833], [0.795, 0.562, 0.445], [0.867, 0.288, 0.167], [0.059, 0.676, 0.996], [0.060, 0.815, 0.674], [0.116, 0.399, 0.677], [0.180, 0.425, 0.277], [0.185, 0.940, 0.326], [0.212, 0.580, 0.667], [0.260, 0.740, 0.000], [0.324, 0.941, 0.004], [0.355, 0.355, 0.641], [0.399, 0.116, 0.677], [0.420, 0.788, 0.333], [0.425, 0.180, 0.277], [0.575, 0.820, 0.723], [0.580, 0.212, 0.667], [0.601, 0.884, 0.323], [0.645, 0.645, 0.359], [0.676, 0.059, 0.996], [0.740, 0.260, 0.000], [0.788, 0.420, 0.333], [0.815, 0.060, 0.674], [0.820, 0.575, 0.723], [0.884, 0.601, 0.323], [0.940, 0.185, 0.326], [0.941, 0.324, 0.004]], "spacegroup": "No. 12", "m_tot_mub_per_cell": 0.0, "dos_ef_per_ev_cell": 0.000, "e_form_raw_mev_per_atom": -2027, "energy_ev_per_atom": -7.176}


{"formula": "Li5Sb2P5O18", "functional": "GGA-PBEsol", "state": "relaxed", "lattice": [[6.677, 0.000, 0.000], [0.143, 9.365, 0.000], [0.003, 1.478, 10.833]], "species": ["Li", "Li", "Li", "Li", "Li", "Li", "Li", "Li", "Li", "Li", "Sb", "Sb", "Sb", "Sb", "P", "P", "P", "P", "P", "P", "P", "P", "P", "P", "O", "O", "O", "O", "O", "O", "O", "O", "O", "O", "O", "O", "O", "O", "O", "O", "O", "O", "O", "O", "O", "O", "O", "O", "O", "O", "O", "O", "O", "O", "O", "O", "O", "O", "O", "O"], "frac_coords": [[0.010, 0.458, 0.367], [0.145, 0.272, 0.166], [0.188, 0.610, 0.153], [0.340, 0.124, 0.357], [0.417, 0.777, 0.905], [0.583, 0.223, 0.095], [0.660, 0.876, 0.643], [0.812, 0.390, 0.847], [0.855, 0.728, 0.834], [0.990, 0.542, 0.633], [0.203, 0.133, 0.900], [0.342, 0.739, 0.444], [0.658, 0.261, 0.556], [0.797, 0.867, 0.100], [0.142, 0.916, 0.666], [0.175, 0.232, 0.598], [0.220, 0.490, 0.903], [0.314, 0.921, 0.170], [0.480, 0.426, 0.287], [0.520, 0.574, 0.713], [0.686, 0.079, 0.830], [0.780, 0.510, 0.097], [0.825, 0.768, 0.402], [0.858, 0.084, 0.334], [0.020, 0.344, 0.545], [0.042, 0.175, 0.330], [0.042, 0.524, 0.816], [0.062, 0.080, 0.614], [0.150, 0.807, 0.174], [0.204, 0.335, 0.977], [0.242, 0.920, 0.791], [0.245, 0.073, 0.111], [0.256, 0.256, 0.724], [0.262, 0.605, 0.983], [0.295, 0.510, 0.319], [0.298, 0.888, 0.566], [0.353, 0.220, 0.509], [0.356, 0.589, 0.612], [0.388, 0.936, 0.302], [0.421, 0.470, 0.825], [0.429, 0.287, 0.237], [0.485, 0.866, 0.087], [0.515, 0.134, 0.913], [0.571, 0.713, 0.763], [0.579, 0.530, 0.175], [0.612, 0.064, 0.698], [0.644, 0.411, 0.388], [0.647, 0.780, 0.491], [0.702, 0.112, 0.434], [0.705, 0.490, 0.681], [0.738, 0.395, 0.017], [0.744, 0.744, 0.276], [0.755, 0.927, 0.889], [0.758, 0.080, 0.209], [0.796, 0.665, 0.023], [0.850, 0.193, 0.826], [0.938, 0.920, 0.386], [0.958, 0.476, 0.184], [0.958, 0.825, 0.670], [0.980, 0.656, 0.455]], "spacegroup": "No. 2", "m_tot_mub_per_cell": 0.0, "dos_ef_per_ev_cell": 0.000, "e_form_raw_mev_per_atom": -2160, "energy_ev_per_atom": -6.906}


{"formula": "LiSbP2O7", "functional": "GGA-PBEsol", "state": "relaxed", "lattice": [[6.647, 0.000, 0.000], [0.807, 6.640, 0.000], [2.922, 0.921, 6.094]], "species": ["Li", "Li", "Sb", "Sb", "P", "P", "P", "P", "O", "O", "O", "O", "O", "O", "O", "O", "O", "O", "O", "O", "O", "O"], "frac_coords": [[0.119, 0.180, 0.421], [0.881, 0.820, 0.579], [0.381, 0.302, 0.762], [0.619, 0.698, 0.238], [0.159, 0.612, 0.189], [0.277, 0.836, 0.721], [0.723, 0.164, 0.279], [0.841, 0.388, 0.811], [0.082, 0.360, 0.646], [0.112, 0.929, 0.633], [0.143, 0.709, 0.956], [0.250, 0.395, 0.166], [0.309, 0.750, 0.221], [0.418, 0.987, 0.749], [0.442, 0.672, 0.587], [0.558, 0.328, 0.413], [0.582, 0.013, 0.251], [0.691, 0.250, 0.779], [0.750, 0.605, 0.834], [0.857, 0.291, 0.044], [0.888, 0.071, 0.367], [0.918, 0.640, 0.354]], "spacegroup": "No. 2", "m_tot_mub_per_cell": 0.0, "dos_ef_per_ev_cell": 0.000, "e_form_raw_mev_per_atom": -2053, "energy_ev_per_atom": -7.040}


{"formula": "LiSn3SbP6O24", "functional": "GGA-PBEsol", "state": "relaxed", "lattice": [[4.212, 2.432, 7.526], [-4.212, 2.432, 7.526], [0.000, -4.863, 7.526]], "species": ["Li", "Sn", "Sn", "Sn", "Sb", "P", "P", "P", "P", "P", "P", "O", "O", "O", "O", "O", "O", "O", "O", "O", "O", "O", "O", "O", "O", "O", "O", "O", "O", "O", "O", "O", "O", "O", "O"], "frac_coords": [[0.000, 0.000, 0.000], [0.128, 0.128, 0.128], [0.334, 0.334, 0.334], [0.629, 0.629, 0.629], [0.837, 0.837, 0.837], [0.015, 0.441, 0.735], [0.226, 0.947, 0.524], [0.441, 0.735, 0.015], [0.524, 0.226, 0.947], [0.735, 0.015, 0.441], [0.947, 0.524, 0.226], [0.087, 0.864, 0.731], [0.093, 0.236, 0.874], [0.140, 0.510, 0.196], [0.158, 0.469, 0.528], [0.172, 0.968, 0.378], [0.196, 0.140, 0.510], [0.236, 0.874, 0.093], [0.378, 0.172, 0.968], [0.432, 0.803, 0.500], [0.458, 0.766, 0.820], [0.469, 0.528, 0.158], [0.500, 0.432, 0.803], [0.510, 0.196, 0.140], [0.528, 0.158, 0.469], [0.593, 0.788, 0.991], [0.731, 0.087, 0.864], [0.766, 0.820, 0.458], [0.788, 0.991, 0.593], [0.803, 0.500, 0.432], [0.820, 0.458, 0.766], [0.864, 0.731, 0.087], [0.874, 0.093, 0.236], [0.968, 0.378, 0.172], [0.991, 0.593, 0.788]], "spacegroup": "No. 146", "m_tot_mub_per_cell": 0.0, "dos_ef_per_ev_cell": 0.000, "e_form_raw_mev_per_atom": -2018, "energy_ev_per_atom": -7.161}


{"formula": "LiSn2P3O10", "functional": "GGA-PBEsol", "state": "relaxed", "lattice": [[5.067, 0.000, 0.000], [0.000, 9.447, 0.000], [-1.816, 0.000, 9.499]], "species": ["Li", "Li", "Sn", "Sn", "Sn", "Sn", "P", "P", "P", "P", "P", "P", "O", "O", "O", "O", "O", "O", "O", "O", "O", "O", "O", "O", "O", "O", "O", "O", "O", "O", "O", "O"], "frac_coords": [[0.000, 0.000, 0.000], [0.000, 0.500, 0.000], [0.029, 0.044, 0.340], [0.029, 0.456, 0.340], [0.971, 0.544, 0.660], [0.971, 0.956, 0.660], [0.245, 0.250, 0.860], [0.408, 0.250, 0.162], [0.498, 0.750, 0.412], [0.502, 0.250, 0.588], [0.592, 0.750, 0.838], [0.755, 0.750, 0.140], [0.085, 0.114, 0.855], [0.085, 0.386, 0.855], [0.239, 0.115, 0.171], [0.239, 0.385, 0.171], [0.241, 0.250, 0.477], [0.315, 0.750, 0.748], [0.345, 0.613, 0.415], [0.345, 0.887, 0.415], [0.420, 0.250, 0.744], [0.468, 0.250, 0.001], [0.532, 0.750, 0.999], [0.580, 0.750, 0.256], [0.655, 0.113, 0.585], [0.655, 0.387, 0.585], [0.685, 0.250, 0.252], [0.759, 0.750, 0.523], [0.761, 0.615, 0.829], [0.761, 0.885, 0.829], [0.915, 0.614, 0.145], [0.915, 0.886, 0.145]], "spacegroup": "No. 11", "m_tot_mub_per_cell": 0.0, "dos_ef_per_ev_cell": 0.000, "e_form_raw_mev_per_atom": -2002, "energy_ev_per_atom": -7.024}


{"formula": "Li3Sn2P3O12", "functional": "GGA-PBEsol", "state": "relaxed", "lattice": [[4.162, -2.738, 0.000], [4.162, 2.738, 0.000], [-0.094, 0.000, 20.082]], "species": ["Li", "Li", "Li", "Li", "Li", "Li", "Sn", "Sn", "Sn", "Sn", "P", "P", "P", "P", "P", "P", "O", "O", "O", "O", "O", "O", "O", "O", "O", "O", "O", "O", "O", "O", "O", "O", "O", "O", "O", "O", "O", "O", "O", "O"], "frac_coords": [[0.004, 0.004, 0.152], [0.331, 0.331, 0.912], [0.335, 0.335, 0.224], [0.665, 0.665, 0.776], [0.669, 0.669, 0.088], [0.996, 0.996, 0.848], [0.000, 0.000, 0.000], [0.000, 0.000, 0.500], [0.005, 0.005, 0.319], [0.995, 0.995, 0.681], [0.343, 0.343, 0.757], [0.360, 0.360, 0.083], [0.362, 0.362, 0.395], [0.638, 0.638, 0.605], [0.640, 0.640, 0.917], [0.657, 0.657, 0.243], [0.237, 0.237, 0.140], [0.237, 0.689, 0.753], [0.239, 0.239, 0.693], [0.239, 0.706, 0.393], [0.244, 0.244, 0.818], [0.249, 0.699, 0.091], [0.255, 0.255, 0.330], [0.269, 0.269, 0.459], [0.284, 0.284, 0.013], [0.294, 0.761, 0.607], [0.301, 0.751, 0.909], [0.311, 0.763, 0.247], [0.689, 0.237, 0.753], [0.699, 0.249, 0.091], [0.706, 0.239, 0.393], [0.716, 0.716, 0.987], [0.731, 0.731, 0.541], [0.745, 0.745, 0.670], [0.751, 0.301, 0.909], [0.756, 0.756, 0.182], [0.761, 0.294, 0.607], [0.761, 0.761, 0.307], [0.763, 0.311, 0.247], [0.763, 0.763, 0.860]], "spacegroup": "No. 12", "m_tot_mub_per_cell": 0.0, "dos_ef_per_ev_cell": 4.523, "e_form_raw_mev_per_atom": -2070, "energy_ev_per_atom": -6.809}